1.
VASP calculation (PBE) on a geometry-optimized PrScGaPt structure.

a b c (Å): 4.989 4.989 4.989
angles (deg): 60.00 60.00 60.00
Sites, in units of the cell vectors:
Pr  0.000  0.000  0.000
Sc  0.500  0.500  0.500
Ga  0.250  0.250  0.250
Pt  0.750  0.750  0.750

Computed properties:
- Raw total energy: -0.212 hartree per atom
- Magnetic moment: 0.00 Bohr magnetons per cell
- Space-group type: F-43m (216)

---

2.
VASP calculation (PBE) on a geometry-optimized Cs2Tl2Cd structure.

a b c (Å): 6.658 5.370 7.791
angles (deg): 69.84 64.70 90.00
Sites, in units of the cell vectors:
Cs  0.686  0.186  0.627
Cs  0.314  0.814  0.373
Tl  0.240  0.500  0.000
Tl  0.760  0.500  0.000
Cd  0.000  0.000  0.000

Computed properties:
- Distance to the lowest polymorph of the same formula: 0.000 eV per atom
- Magnetic moment: 0.00 Bohr magnetons per cell
- Space-group type: Immm (71)

---

3.
VASP calculation (PBE) on a geometry-optimized YEr2Th3 structure.

a b c (Å): 6.195 6.195 11.435
angles (deg): 90.00 90.00 120.02
Sites, in units of the cell vectors:
Y  0.166  0.166  0.750
Y  0.834  0.834  0.250
Er  0.167  0.501  0.250
Er  0.833  0.499  0.750
Er  0.499  0.833  0.750
Er  0.501  0.167  0.250
Th  0.832  0.168  0.000
Th  0.168  0.832  0.500
Th  0.500  0.500  0.000
Th  0.500  0.500  0.500
Th  0.168  0.832  0.000
Th  0.832  0.168  0.500

Computed properties:
- Distance to the lowest polymorph of the same formula: 0.000 eV per atom
- Magnetic moment: 0.00 Bohr magnetons per cell
- Space-group type: Cmcm (63)

---

4.
VASP calculation (PBE) on a geometry-optimized Y12Co6Cu structure.

a b c (Å): 8.353 8.353 8.353
angles (deg): 109.47 109.47 109.47
Sites, in units of the cell vectors:
Y  0.301  0.107  0.806
Y  0.301  0.495  0.194
Y  0.699  0.505  0.806
Y  0.699  0.893  0.194
Y  0.107  0.806  0.301
Y  0.495  0.194  0.301
Y  0.505  0.806  0.699
Y  0.893  0.194  0.699
Y  0.806  0.301  0.107
Y  0.194  0.301  0.495
Y  0.806  0.699  0.505
Y  0.194  0.699  0.893
Co  0.387  0.500  0.887
Co  0.613  0.500  0.113
Co  0.500  0.887  0.387
Co  0.500  0.113  0.613
Co  0.887  0.387  0.500
Co  0.113  0.613  0.500
Cu  0.000  0.000  0.000

Computed properties:
- Raw total energy: -0.246 hartree per atom
- Magnetic moment: 0.00 Bohr magnetons per cell
- Space-group type: Im-3 (204)

---

5.
VASP calculation (PBE) on a geometry-optimized SrOsPt2 structure.

a b c (Å): 5.145 5.145 9.055
angles (deg): 73.50 73.50 90.00
Sites, in units of the cell vectors:
Sr  0.500  0.500  0.000
Sr  0.250  0.750  0.500
Os  0.000  0.000  0.000
Os  0.750  0.250  0.500
Pt  0.828  0.125  0.250
Pt  0.922  0.625  0.250
Pt  0.375  0.172  0.750
Pt  0.875  0.078  0.750

Computed properties:
- Distance to the lowest polymorph of the same formula: 0.148 eV per atom
- Magnetic moment: 0.00 Bohr magnetons per cell
- Space-group type: I-42d (122)

---

6.
VASP calculation (PBE) on a geometry-optimized KHoPb4 structure.

a b c (Å): 6.531 6.531 6.531
angles (deg): 60.00 60.00 60.00
Sites, in units of the cell vectors:
Pb  0.626  0.626  0.122
Pb  0.626  0.122  0.626
Pb  0.626  0.626  0.626
Pb  0.122  0.626  0.626
K  0.250  0.250  0.250
Ho  0.000  0.000  0.000

Computed properties:
- Raw total energy: -0.129 hartree per atom
- Magnetic moment: 0.00 Bohr magnetons per cell
- Space-group type: F-43m (216)

---

7.
VASP calculation (PBE) on a geometry-optimized EuHoZnIr structure.

a b c (Å): 4.981 4.981 4.981
angles (deg): 60.00 60.00 60.00
Each line ends with the local moment (μB).
Sites, in units of the cell vectors:
Eu  0.500  0.500  0.500  6.71
Zn  0.250  0.250  0.250  0.00
Ir  0.750  0.750  0.750  -0.09
Ho  0.000  0.000  0.000  0.02

Computed properties:
- Raw total energy: -0.245 hartree per atom
- Magnetic moment: 6.84 Bohr magnetons per cell
- Space-group type: F-43m (216)

---

8.
VASP calculation (PBE) on a geometry-optimized LaTl2Cl structure.

a b c (Å): 6.078 6.078 3.594
angles (deg): 90.00 90.00 117.98
Sites, in units of the cell vectors:
Tl  0.000  0.000  0.000
Tl  0.500  0.500  0.000
Cl  0.500  0.000  0.500
La  0.000  0.500  0.500

Computed properties:
- Distance to the lowest polymorph of the same formula: 0.224 eV per atom
- Magnetic moment: 0.00 Bohr magnetons per cell
- Space-group type: Cmmm (65)